A relaxed structure of AcCe4Al4. Source: the Alexandria database, functional PBE.

Unit cell a=7.528 b=7.528 c=7.528 alpha=94.59 beta=94.59 gamma=147.14
Atoms (fractional coordinates):
Ac (0.000, 0.000, 0.000)
Ce (0.309, 0.309, 0.617)
Ce (0.309, 0.691, 0.000)
Ce (0.691, 0.309, 0.000)
Ce (0.691, 0.691, 0.383)
Al (0.000, 0.353, 0.353)
Al (0.000, 0.647, 0.647)
Al (0.353, 0.000, 0.353)
Al (0.647, 0.000, 0.647)

Summary:
DFT formation energy   -0.130 eV/atom
Space group   I4/mmm

=====

A relaxed structure of ZrTlSe2. Source: the Alexandria database, functional PBE.

Unit cell a=7.687 b=4.823 c=12.114 alpha=90.00 beta=90.00 gamma=90.00
Atoms (fractional coordinates):
Zr (0.073, 0.250, 0.095)
Zr (0.427, 0.750, 0.595)
Zr (0.573, 0.250, 0.405)
Zr (0.927, 0.750, 0.905)
Tl (0.140, 0.750, 0.351)
Tl (0.360, 0.250, 0.851)
Tl (0.640, 0.750, 0.149)
Tl (0.860, 0.250, 0.649)
Se (0.121, 0.750, 0.733)
Se (0.197, 0.750, 0.048)
Se (0.303, 0.250, 0.548)
Se (0.379, 0.250, 0.233)
Se (0.621, 0.750, 0.767)
Se (0.697, 0.750, 0.452)
Se (0.803, 0.250, 0.952)
Se (0.879, 0.250, 0.267)

Summary:
Space group   Pnma
Formation energy from raw total energies   -0.88 eV/atom

=====

A relaxed structure of Tm12MgNi5. Source: the Alexandria database, functional PBE.

Unit cell a=8.217 b=8.217 c=8.217 alpha=111.42 beta=110.62 gamma=106.42
Atoms (fractional coordinates):
Tm (0.026, 0.216, 0.810)
Tm (0.181, 0.289, 0.470)
Tm (0.181, 0.711, 0.893)
Tm (0.322, 0.015, 0.693)
Tm (0.322, 0.629, 0.307)
Tm (0.407, 0.216, 0.190)
Tm (0.593, 0.784, 0.810)
Tm (0.678, 0.371, 0.693)
Tm (0.678, 0.985, 0.307)
Tm (0.819, 0.289, 0.107)
Tm (0.819, 0.711, 0.530)
Tm (0.974, 0.784, 0.190)
Mg (0.500, 0.500, 0.000)
Ni (0.000, 0.000, 0.000)
Ni (0.122, 0.622, 0.500)
Ni (0.361, 0.000, 0.361)
Ni (0.639, 0.000, 0.639)
Ni (0.878, 0.378, 0.500)

Summary:
DFT formation energy   -0.298 eV/atom
Space group   Immm

=====

A relaxed structure of LiNd3Zn2. Source: the Alexandria database, functional PBE.

Unit cell a=3.735 b=3.735 c=11.173 alpha=90.00 beta=90.00 gamma=90.00
Atoms (fractional coordinates):
Li (0.000, 0.000, 0.000)
Nd (0.500, 0.500, 0.182)
Nd (0.500, 0.500, 0.500)
Nd (0.500, 0.500, 0.818)
Zn (0.000, 0.000, 0.335)
Zn (0.000, 0.000, 0.665)

Summary:
DFT formation energy   -0.188 eV/atom
Space group   P4/mmm